1.
Here is a relaxed KLaP2 crystal from Alexandria. Energies are from PBE.

Cell lengths 5.338, 5.338, 5.338 Å; angles 125.48, 125.48, 80.75 degrees
Sites, in units of the cell vectors:
K 0.000 0.000 0.000
La 0.500 0.500 0.000
P 0.250 0.750 0.500
P 0.750 0.250 0.500

Total moment = 0.00 μB/atom
Offset from the most stable computed form = 382 meV/atom
N(E_F) = 0.448 states/eV/atom

***

2.
Here is a relaxed RbAsPb2I8 crystal from Alexandria. Energies are from PBE.

Cell lengths 7.334, 7.649, 9.781 Å; angles 89.93, 89.87, 88.42 degrees
Sites, in units of the cell vectors:
Rb 0.000 0.000 0.000
As 0.000 0.000 0.500
Pb 0.500 0.500 0.257
Pb 0.500 0.500 0.743
I 0.223 0.317 0.500
I 0.240 0.849 0.706
I 0.241 0.851 0.294
I 0.268 0.377 0.000
I 0.732 0.623 0.000
I 0.759 0.149 0.706
I 0.760 0.151 0.294
I 0.777 0.683 0.500

Total moment = 0.00 μB/atom
Formation energy (no corrections) = -0.558 eV/atom
N(E_F) = 0.000 states/eV/atom

***

3.
Here is a relaxed CsYRe2Ir crystal from Alexandria. Energies are from PBE.

Cell lengths 4.938, 4.938, 4.980 Å; angles 90.00, 90.00, 90.00 degrees
Sites, in units of the cell vectors:
Cs 0.000 0.000 0.000
Y 0.500 0.500 0.500
Re 0.000 0.500 0.000
Re 0.500 0.000 0.000
Ir 0.000 0.000 0.500

Total moment = 0.13 μB/atom
Raw total energy = -5.273 eV/atom
N(E_F) = 1.514 states/eV/atom

***

4.
Here is a relaxed Rb4CdIn3Hg12 crystal from Alexandria. Energies are from PBE.

Cell lengths 9.952, 9.952, 9.952 Å; angles 109.47, 109.47, 109.47 degrees
Sites, in units of the cell vectors:
Rb 0.000 0.000 0.500
Rb 0.000 0.500 0.000
Rb 0.500 0.000 0.000
Rb 0.500 0.500 0.500
Cd 0.000 0.000 0.000
In 0.000 0.500 0.500
In 0.500 0.000 0.500
In 0.500 0.500 0.000
Hg 0.000 0.248 0.248
Hg 0.000 0.752 0.752
Hg 0.248 0.000 0.248
Hg 0.248 0.248 0.000
Hg 0.250 0.500 0.750
Hg 0.250 0.750 0.500
Hg 0.500 0.250 0.750
Hg 0.500 0.750 0.250
Hg 0.750 0.250 0.500
Hg 0.750 0.500 0.250
Hg 0.752 0.000 0.752
Hg 0.752 0.752 0.000

Total moment = 0.00 μB/atom
Raw total energy = -0.927 eV/atom
N(E_F) = 0.467 states/eV/atom

***

5.
Here is a relaxed HgSeClO4 crystal from Alexandria. Energies are from PBE.

Cell lengths 7.818, 7.818, 6.702 Å; angles 114.75, 114.75, 61.30 degrees
Sites, in units of the cell vectors:
Hg 0.165 0.165 0.150
Hg 0.835 0.835 0.850
Se 0.327 0.327 0.730
Se 0.673 0.673 0.270
Cl 0.026 0.026 0.762
Cl 0.974 0.974 0.238
O 0.112 0.457 0.797
O 0.321 0.321 0.471
O 0.457 0.112 0.797
O 0.484 0.484 0.876
O 0.516 0.516 0.124
O 0.543 0.888 0.203
O 0.679 0.679 0.529
O 0.888 0.543 0.203

Total moment = 0.00 μB/atom
Formation energy (no corrections) = -0.371 eV/atom
N(E_F) = 0.000 states/eV/atom

***

6.
Here is a relaxed MnHIr2W crystal from Alexandria. Energies are from PBE.

Cell lengths 4.826, 4.826, 2.878 Å; angles 90.00, 90.00, 90.00 degrees
Sites, in units of the cell vectors:
Mn 0.000 0.000 0.000
H 0.000 0.000 0.500
Ir 0.000 0.500 0.000
Ir 0.500 0.000 0.000
W 0.500 0.500 0.500

Total moment = 0.61 μB/atom
Offset from the most stable computed form = 708 meV/atom
N(E_F) = 0.713 states/eV/atom

***

7.
Here is a relaxed DyY6Sc crystal from Alexandria. Energies are from PBE.

Cell lengths 7.207, 7.207, 5.608 Å; angles 90.00, 90.00, 120.00 degrees
Sites, in units of the cell vectors:
Dy 0.000 0.000 0.000
Y 0.165 0.331 0.500
Y 0.165 0.835 0.500
Y 0.502 0.004 0.000
Y 0.502 0.498 0.000
Y 0.669 0.835 0.500
Y 0.996 0.498 0.000
Sc 0.667 0.333 0.500

Total moment = 0.00 μB/atom
Offset from the most stable computed form = 0 meV/atom
N(E_F) = 2.129 states/eV/atom

***

8.
Here is a relaxed DyHgF6 crystal from Alexandria. Energies are from PBE.

Cell lengths 6.750, 6.750, 5.347 Å; angles 90.00, 90.00, 108.02 degrees
Sites, in units of the cell vectors:
Dy 0.250 0.250 0.000
Dy 0.750 0.750 0.000
Hg 0.250 0.750 0.550
Hg 0.750 0.250 0.450
F 0.047 0.300 0.700
F 0.100 0.900 0.859
F 0.200 0.453 0.300
F 0.300 0.047 0.300
F 0.400 0.600 0.859
F 0.453 0.200 0.700
F 0.547 0.800 0.300
F 0.600 0.400 0.141
F 0.700 0.953 0.700
F 0.800 0.547 0.700
F 0.900 0.100 0.141
F 0.953 0.700 0.300

Total moment = 0.12 μB/atom
Formation energy (no corrections) = -2.500 eV/atom
N(E_F) = 0.936 states/eV/atom

***

9.
Here is a relaxed GaMo2 crystal from Alexandria. Energies are from PBE.

Cell lengths 6.146, 5.271, 4.751 Å; angles 75.46, 56.11, 48.43 degrees
Sites, in units of the cell vectors:
Ga 0.125 0.125 0.125
Ga 0.875 0.875 0.875
Mo 0.216 0.534 0.216
Mo 0.466 0.784 0.466
Mo 0.534 0.216 0.534
Mo 0.784 0.466 0.784

Total moment = 0.00 μB/atom
Offset from the most stable computed form = 53 meV/atom
N(E_F) = 0.564 states/eV/atom

***

10.
Here is a relaxed Zn2GeO4 crystal from Alexandria. Energies are from PBE.

Cell lengths 5.675, 5.675, 5.138 Å; angles 109.79, 109.79, 31.38 degrees
Sites, in units of the cell vectors:
Zn 0.159 0.159 0.099
Zn 0.841 0.841 0.901
Ge 0.500 0.500 0.500
O 0.079 0.079 0.373
O 0.357 0.357 0.158
O 0.643 0.643 0.842
O 0.921 0.921 0.627

Total moment = 0.00 μB/atom
Offset from the most stable computed form = 108 meV/atom
Formation energy (no corrections) = -1.458 eV/atom

***

11.
Here is a relaxed Mg2ReRu crystal from Alexandria. Energies are from PBE.

Cell lengths 2.783, 2.783, 9.365 Å; angles 90.00, 90.00, 113.35 degrees
Sites, in units of the cell vectors:
Mg 0.000 0.000 0.000
Mg 0.500 0.500 0.288
Re 0.000 0.000 0.539
Ru 0.500 0.500 0.760

Total moment = 0.00 μB/atom
Offset from the most stable computed form = 241 meV/atom
N(E_F) = 0.535 states/eV/atom

***

12.
Here is a relaxed B crystal from Alexandria. Energies are from PBE.

Cell lengths 2.027, 2.027, 2.027 Å; angles 60.00, 60.00, 60.00 degrees
Sites, in units of the cell vectors:
B 0.000 0.000 0.000

Total moment = 0.00 μB/atom
Offset from the most stable computed form = 1366 meV/atom
N(E_F) = 0.238 states/eV/atom

***

What is the formula in the second record? RbAsPb2I8